Material: Hf2TaC3
Method: DFT, PBE
State: optimized geometry

Output
**Space-group type**: Imm2, No. 44
**Electronic total energy**: -60.98 eV per cell
**ΔE to the lowest computed polymorph**: 593 meV per atom

Cell: 3.518 4.959 6.088 Å, 114.03 106.79 90.00°
Fractional positions:
Hf  0.834  0.583  0.668
Hf  0.166  0.914  0.332
Ta  0.500  0.250  0.000
C  0.000  0.018  0.000
C  0.339  0.328  0.679
C  0.661  0.650  0.321